(1)
Here is In2SiPt after structural relaxation from Alexandria. Energies are from PBE.

Cell lengths 3.229, 3.229, 7.987 Å; angles 90.00, 90.00, 90.00 degrees
Space group P4mm (No. 99)
Inequivalent atoms, fractional coordinates:
In (0.000, 0.000, 0.000)
In (0.500, 0.500, 0.330)
Si (0.500, 0.500, 0.724)
Pt (0.000, 0.000, 0.591)

Output
For the formation energy (no corrections), the calculation gives -0.14 eV/atom. Its density of states at the Fermi level is 1.8 states/eV per cell. The energy is -4.3742 eV per atom. The calculation puts the volume at 83.3 Å³ per cell.

---

(2)
Here is NdSiTe3 after structural relaxation from Alexandria. Energies are from PBE.

Cell lengths 8.698, 7.171, 9.871 Å; angles 90.00, 90.00, 90.00 degrees
Space group Pna2_1 (No. 33)
Inequivalent atoms, fractional coordinates:
Nd (0.118, 0.037, 0.000)
Si (0.074, 0.528, 0.234)
Te (0.033, 0.382, 0.488)
Te (0.176, 0.839, 0.695)
Te (0.178, 0.850, 0.308)

Output
For the formation energy (no corrections), the calculation gives -0.63 eV/atom. Its density of states at the Fermi level is 1.8 states/eV per cell. The energy is -4.5524 eV per atom. The calculation puts the volume at 615.7 Å³ per cell.

---

(3)
Here is ScGe3Bi after structural relaxation from Alexandria. Energies are from PBE.

Cell lengths 5.407, 5.407, 5.407 Å; angles 90.00, 90.00, 90.00 degrees
Space group Pm-3m (No. 221)
Inequivalent atoms, fractional coordinates:
Sc (0.000, 0.000, 0.000)
Ge (0.000, 0.500, 0.500)
Bi (0.500, 0.500, 0.500)

Output
Its density of states at the Fermi level is 6.2 states/eV per cell. The distance to the lowest polymorph of the same formula is 565 meV per atom. The formation energy is 97.4 kJ/mol of atoms. The energy is -3.8031 eV per atom. The calculation puts the volume at 158.0 Å³ per cell.

---

(4)
Here is Zr2Al2SiRu5 after structural relaxation from Alexandria. Energies are from PBE.

Cell lengths 9.828, 9.828, 3.189 Å; angles 90.00, 90.00, 90.00 degrees
Space group P4/mbm (No. 127)
Inequivalent atoms, fractional coordinates:
Zr (0.171, 0.329, 0.000)
Al (0.131, 0.631, 0.000)
Si (0.000, 0.000, 0.000)
Ru (0.000, 0.500, 0.500)
Ru (0.054, 0.804, 0.500)

Output
For the formation energy (no corrections), the calculation gives -0.53 eV/atom. Its density of states at the Fermi level is 14.7 states/eV per cell. The energy is -8.1657 eV per atom. The calculation puts the volume at 308.0 Å³ per cell.